--- w ---
This record from the Alexandria database describes a geometry-optimized BeTeSe2 structure. The functional is PBE.

abc: 3.317 3.317 7.927
angles: 90.00 90.00 90.00
Space group P4mm (No. 99)
Asymmetric unit:
Be (0.000, 0.000, 0.000)
Te (0.500, 0.500, 0.582)
Se (0.000, 0.000, 0.270)
Se (0.500, 0.500, 0.916)

D(E_F), states/eV/f.u.: 1.52
Volume, Å³/f.u.: 87


--- x ---
This record from the Alexandria database describes a geometry-optimized BeTeSe2 structure. The functional is PBE.

abc: 5.755 7.600 3.901
angles: 90.00 90.00 90.00
Space group Cmmm (No. 65)
Asymmetric unit:
Be (0.000, 0.000, 0.000)
Te (0.000, 0.500, 0.000)
Se (0.250, 0.250, 0.500)

D(E_F), states/eV/f.u.: 1.48
Volume, Å³/f.u.: 85


It turns out w is the most stable, with the second structure 676 meV per atom higher.


--- w ---
This record from the Alexandria database describes a geometry-optimized Be2TeSe structure. The functional is PBE.

abc: 3.479 3.479 6.907
angles: 90.00 90.00 90.00
Space group P4mm (No. 99)
Asymmetric unit:
Be (0.000, 0.000, 0.000)
Be (0.500, 0.500, 0.234)
Te (0.500, 0.500, 0.875)
Se (0.000, 0.000, 0.319)

D(E_F), states/eV/f.u.: 1.44
Volume, Å³/f.u.: 84


--- x ---
This record from the Alexandria database describes a geometry-optimized Be2TeSe structure. The functional is PBE.

abc: 3.194 3.194 6.789
angles: 90.00 90.00 90.00
Space group P4/mmm (No. 123)
Asymmetric unit:
Be (0.000, 0.000, 0.173)
Te (0.500, 0.500, 0.500)
Se (0.500, 0.500, 0.000)

D(E_F), states/eV/f.u.: 1.93
Volume, Å³/f.u.: 69


It turns out w is the most stable, with the second structure 646 meV per atom higher.


--- w ---
This record from the Alexandria database describes a geometry-optimized Be2TeSe structure. The functional is PBE.

abc: 5.428 5.428 10.837
angles: 90.00 90.00 90.00
Space group I-42d (No. 122)
Asymmetric unit:
Be (0.222, 0.250, 0.125)
Te (0.000, 0.000, 0.500)
Se (0.000, 0.000, 0.000)

D(E_F), states/eV/f.u.: 0.00
Volume, Å³/f.u.: 80


--- x ---
This record from the Alexandria database describes a geometry-optimized Be2TeSe structure. The functional is PBE.

abc: 6.864 6.872 4.988
angles: 90.00 110.30 90.00
Space group C2/m (No. 12)
Asymmetric unit:
Be (0.250, 0.250, 0.000)
Te (0.000, 0.000, 0.000)
Se (0.000, 0.500, 0.000)

D(E_F), states/eV/f.u.: 1.07
Volume, Å³/f.u.: 110


It turns out w is the most stable, with the second structure 814 meV per atom higher.


--- w ---
This record from the Alexandria database describes a geometry-optimized Be2TeSe structure. The functional is PBE.

abc: 3.353 6.988 8.812
angles: 90.00 90.00 90.00
Space group Immm (No. 71)
Asymmetric unit:
Be (0.000, 0.220, 0.000)
Te (0.000, 0.000, 0.500)
Se (0.000, 0.500, 0.500)

D(E_F), states/eV/f.u.: 0.83
Volume, Å³/f.u.: 103


--- x ---
This record from the Alexandria database describes a geometry-optimized Be2TeSe structure. The functional is PBE.

abc: 3.435 3.441 9.134
angles: 90.00 90.00 90.00
Space group Pmmm (No. 47)
Asymmetric unit:
Be (0.000, 0.000, 0.000)
Be (0.000, 0.500, 0.500)
Te (0.500, 0.000, 0.500)
Se (0.500, 0.500, 0.000)

D(E_F), states/eV/f.u.: 1.68
Volume, Å³/f.u.: 108


It turns out w is the most stable, with the second structure 72 meV per atom higher.


--- w ---
This record from the Alexandria database describes a geometry-optimized Be2TeSe structure. The functional is PBE.

abc: 4.951 3.385 6.798
angles: 90.00 109.84 90.00
Space group P2/m (No. 10)
Asymmetric unit:
Be (0.221, 0.000, 0.224)
Te (0.500, 0.500, 0.500)
Se (0.000, 0.500, 0.000)

D(E_F), states/eV/f.u.: 0.50
Volume, Å³/f.u.: 107


--- x ---
This record from the Alexandria database describes a geometry-optimized Be2TeSe structure. The functional is PBE.

abc: 3.775 3.776 6.952
angles: 90.00 91.52 90.00
Space group Pm (No. 6)
Asymmetric unit:
Be (0.000, 0.000, 0.000)
Be (0.500, 0.500, 0.000)
Te (0.489, 0.000, 0.773)
Se (0.010, 0.500, 0.189)

D(E_F), states/eV/f.u.: 0.00
Volume, Å³/f.u.: 99


It turns out x is the most stable, with the second structure 661 meV per atom higher.


--- w ---
This record from the Alexandria database describes a geometry-optimized Be2TeSe structure. The functional is PBE.

abc: 3.309 3.490 12.328
angles: 90.00 90.00 90.00
Space group Imm2 (No. 44)
Asymmetric unit:
Be (0.000, 0.000, 0.000)
Be (0.000, 0.500, 0.206)
Te (0.000, 0.500, 0.823)
Se (0.000, 0.000, 0.572)

D(E_F), states/eV/f.u.: 1.32
Volume, Å³/f.u.: 71


--- x ---
This record from the Alexandria database describes a geometry-optimized Be2TeSe structure. The functional is PBE.

abc: 14.264 3.813 4.936
angles: 90.00 96.18 90.00
Space group Cm (No. 8)
Asymmetric unit:
Be (0.000, 0.000, 0.000)
Be (0.083, 0.500, 0.048)
Te (0.159, 0.000, 0.231)
Se (0.439, 0.000, 0.852)

D(E_F), states/eV/f.u.: 0.00
Volume, Å³/f.u.: 133


--- y ---
This record from the Alexandria database describes a geometry-optimized Be2TeSe structure. The functional is PBE.

abc: 3.8438 3.8438 33.3261
angles: 90.00 90.00 120.00
Space group R3m (No. 160, hexagonal axes)
Asymmetric unit:
Be (0.0000, 0.0000, 0.0000)
Be (0.0000, 0.0000, 0.1822)
Te (0.0000, 0.0000, 0.6794)
Se (0.0000, 0.0000, 0.5157)

D(E_F), states/eV/f.u.: 0.00
Volume, Å³/f.u.: 142


--- z ---
This record from the Alexandria database describes a geometry-optimized Be2TeSe structure. The functional is PBE.

abc: 3.437 3.437 18.734
angles: 90.00 90.00 90.00
Space group I-4m2 (No. 119)
Asymmetric unit:
Be (0.000, 0.000, 0.000)
Be (0.000, 0.500, 0.250)
Te (0.000, 0.000, 0.500)
Se (0.000, 0.500, 0.750)

D(E_F), states/eV/f.u.: 1.16
Volume, Å³/f.u.: 111


It turns out y is the most stable, with the second structure 21 meV per atom higher.


--- w ---
This record from the Alexandria database describes a geometry-optimized Be2TeSe structure. The functional is PBE.

abc: 4.561 4.561 3.272
angles: 90.00 90.00 90.00
Space group P4/mmm (No. 123)
Asymmetric unit:
Be (0.000, 0.500, 0.000)
Te (0.000, 0.000, 0.500)
Se (0.500, 0.500, 0.500)

D(E_F), states/eV/f.u.: 2.09
Volume, Å³/f.u.: 68


--- x ---
This record from the Alexandria database describes a geometry-optimized Be2TeSe structure. The functional is PBE.

abc: 6.651 6.651 6.651
angles: 90.00 90.00 90.00
Space group F-43m (No. 216)
Asymmetric unit:
Be (0.000, 0.000, 0.000)
Be (0.250, 0.250, 0.250)
Te (0.250, 0.250, 0.750)
Se (0.000, 0.000, 0.500)

D(E_F), states/eV/f.u.: 1.93
Volume, Å³/f.u.: 74


--- y ---
This record from the Alexandria database describes a geometry-optimized Be2TeSe structure. The functional is PBE.

abc: 3.379 9.381 6.928
angles: 90.00 90.00 90.00
Space group Cmmm (No. 65)
Asymmetric unit:
Be (0.000, 0.000, 0.224)
Te (0.000, 0.500, 0.500)
Se (0.000, 0.500, 0.000)

D(E_F), states/eV/f.u.: 0.92
Volume, Å³/f.u.: 110


--- z ---
This record from the Alexandria database describes a geometry-optimized Be2TeSe structure. The functional is PBE.

abc: 6.464 6.464 6.464
angles: 90.00 90.00 90.00
Space group Fm-3m (No. 225)
Asymmetric unit:
Be (0.250, 0.250, 0.250)
Te (0.000, 0.000, 0.000)
Se (0.000, 0.000, 0.500)

D(E_F), states/eV/f.u.: 2.12
Volume, Å³/f.u.: 68


It turns out y is the most stable, with the second structure 476 meV per atom higher.


--- w ---
This record from the Alexandria database describes a geometry-optimized BeTe3Se structure. The functional is PBE.

abc: 5.444 5.444 5.444
angles: 90.00 90.00 90.00
Space group Pm-3m (No. 221)
Asymmetric unit:
Be (0.000, 0.000, 0.000)
Te (0.000, 0.500, 0.500)
Se (0.500, 0.500, 0.500)

D(E_F), states/eV/f.u.: 4.46
Volume, Å³/f.u.: 161


--- x ---
This record from the Alexandria database describes a geometry-optimized BeTe3Se structure. The functional is PBE.

abc: 4.959 4.959 4.959
angles: 90.00 90.00 90.00
Space group Pm-3m (No. 221)
Asymmetric unit:
Be (0.000, 0.000, 0.000)
Te (0.000, 0.000, 0.500)
Se (0.500, 0.500, 0.500)

D(E_F), states/eV/f.u.: 4.49
Volume, Å³/f.u.: 122


It turns out x is the most stable, with the second structure 552 meV per atom higher.